This record from OQMD via LeMat-Bulk describes a relaxed structure of CdAsAuO. The functional is PBE.

Lattice parameters (Å, degrees): 3.3129 7.1851 5.8438 90.00 90.00 90.00
Element x y z (fractional)
Cd  0.0000  0.1174  0.0000
Cd  0.0000  0.8826  0.5000
As  0.0000  0.4703  0.2180
As  0.0000  0.5297  0.7180
Au  0.5000  0.2841  0.4700
Au  0.5000  0.7159  0.9700
O  0.5000  0.0573  0.7246
O  0.5000  0.9427  0.2246

Output
Total energy = -3.66 eV per atom
E above lowest polymorph = 0.000 eV per atom
Space group = Pmc2_1 (26)